SrNdNiRuO6: optimized geometry, PBE with a Hubbard U.

Electronic total energy (Ry per atom): -0.5016

abc: 5.5551 5.6818 9.6453
angles: 90.00 125.18 90.00
Space group Pc (No. 7)
One atom of each set of equivalent atoms:
Sr (0.0000, 0.2095, 0.0000) [2 per cell]
Nd (0.5196, 0.3055, 0.4983) [2 per cell]
Ni (0.2574, 0.2448, 0.7494) [2 per cell]
Ru (0.7576, 0.2479, 0.2502) [2 per cell]
O (0.0938, 0.2351, 0.4941) [2 per cell]
O (0.4452, 0.2747, 0.0055) [2 per cell]
O (0.5113, 0.0536, 0.2949) [2 per cell]
O (0.5876, 0.4749, 0.7912) [2 per cell]
O (0.9038, 0.0402, 0.7036) [2 per cell]
O (0.9969, 0.4622, 0.2122) [2 per cell]